Record 1
DFT (PBE-GGA) results for a relaxed BaScZnAu crystal.

Output
As for the mass density: 8.01 g cm⁻³. As for the space group: F-43m (216). The energy above the most stable polymorph in this dataset comes out at 0.50 eV/f.u. The value obtained for the total energy is -3.283 eV/atom.

Lattice parameters (Å, degrees): 5.0700 5.0700 5.0700 60.00 60.00 60.00
Last column: nearest neighbours and their distance in Å.
Positions (direct):
Au 0.7500 0.7500 0.7500  4 Zn 3.10, 4 Sc 3.10
Ba 0.2500 0.2500 0.2500  4 Sc 3.10, 4 Zn 3.10
Sc 0.5000 0.5000 0.5000  4 Ba 3.10, 4 Au 3.10
Zn 0.0000 0.0000 0.0000  4 Au 3.10, 4 Ba 3.10


Record 2
DFT (PBE-GGA) results for a relaxed BaScZnAu crystal.

Output
As for the mass density: 7.77 g cm⁻³. As for the space group: F-43m (216). The energy above the most stable polymorph in this dataset comes out at 0.82 eV/f.u. The value obtained for the total energy is -3.202 eV/atom.

Lattice parameters (Å, degrees): 5.1212 5.1212 5.1212 60.00 60.00 60.00
Last column: nearest neighbours and their distance in Å.
Positions (direct):
Au 0.7500 0.7500 0.7500  4 Ba 3.14, 4 Zn 3.14
Ba 0.5000 0.5000 0.5000  4 Sc 3.14, 4 Au 3.14
Sc 0.2500 0.2500 0.2500  4 Ba 3.14, 4 Zn 3.14
Zn 0.0000 0.0000 0.0000  4 Sc 3.14, 4 Au 3.14


Record 3
DFT (PBE-GGA) results for a relaxed BaScZnAu crystal.

Output
As for the mass density: 7.03 g cm⁻³. As for the space group: F-43m (216). The energy above the most stable polymorph in this dataset comes out at 0.00 eV/f.u. The value obtained for the total energy is -3.408 eV/atom.

Lattice parameters (Å, degrees): 5.2957 5.2957 5.2957 60.00 60.00 60.00
Last column: nearest neighbours and their distance in Å.
Positions (direct):
Au 0.7500 0.7500 0.7500  4 Sc 3.24, 4 Ba 3.24
Ba 0.0000 0.0000 0.0000  4 Zn 3.24, 4 Au 3.24
Sc 0.5000 0.5000 0.5000  4 Zn 3.24, 4 Au 3.24
Zn 0.2500 0.2500 0.2500  4 Sc 3.24, 4 Ba 3.24


Record 4
DFT (PBE-GGA) results for a relaxed Ba4Au3Se crystal.

Output
As for the mass density: 7.33 g cm⁻³. As for the space group: Pm (6). The value obtained for the total energy is -3.578 eV/atom.

Lattice parameters (Å, degrees): 6.4924 5.0090 8.4973 90.00 91.48 90.00
Last column: nearest neighbours and their distance in Å.
Positions (direct):
Au 0.8087 0.5000 0.0512  6 Ba 3.32-3.57, 2 Se 3.63
Au 0.3655 0.0000 0.4632  2 Au 3.14, 6 Ba 3.44-3.51
Au 0.6434 0.5000 0.5358  2 Au 3.14, 6 Ba 3.44-3.51
Ba 0.3338 0.5000 0.1856  5 Au 3.32-3.57, 2 Se 3.34
Ba 0.8543 0.0000 0.3138  6 Au 3.36-3.52
Ba 0.1462 0.5000 0.6881  2 Se 3.34, 4 Au 3.48-3.51
Ba 0.6606 0.0000 0.8153  2 Se 3.30-3.57, 5 Au 3.33-3.51
Se 0.1874 0.0000 0.9472  6 Ba 3.30-3.57, 2 Au 3.63


Record 5
DFT (PBE-GGA) results for a relaxed Ba4AuSe3 crystal.

Output
As for the mass density: 5.47 g cm⁻³. As for the space group: Pmm2 (25). The value obtained for the total energy is -4.323 eV/atom.

Lattice parameters (Å, degrees): 6.6704 4.6940 9.5348 90.00 90.02 90.00
Last column: nearest neighbours and their distance in Å.
Positions (direct):
Au 0.2495 0.0000 0.1249  6 Ba 3.33-3.40
Ba 0.7491 0.0000 0.1253  2 Au 3.33-3.34, 4 Se 3.36
Ba 0.2506 0.5000 0.3820  4 Se 3.30-3.34, 2 Au 3.39
Ba 0.7506 0.0000 0.6251  6 Se 3.33-3.34
Ba 0.2496 0.5000 0.8675  4 Se 3.29-3.34, 2 Au 3.40
Se 0.7501 0.5000 0.3770  6 Ba 3.33-3.36
Se 0.2506 0.0000 0.6250  6 Ba 3.29-3.34
Se 0.7498 0.5000 0.8734  6 Ba 3.33-3.36


Record 6
DFT (PBE-GGA) results for a relaxed BaSmTe2AuSe crystal.

Output
As for the mass density: 7.41 g cm⁻³. As for the space group: Cmcm (63). The value obtained for the total energy is -4.613 eV/atom.

Lattice parameters (Å, degrees): 7.9119 7.9119 11.0111 90.00 90.00 147.84
Last column: nearest neighbours and their distance in Å.
Positions (direct):
Au 0.5303 0.4697 0.2500  2 Se 2.71, 2 Te 2.78
Au 0.4697 0.5303 0.7500  2 Se 2.71, 2 Te 2.78
Ba 0.2626 0.7374 0.2500  2 Se 3.30, 6 Te 3.56-3.63
Ba 0.7374 0.2626 0.7500  2 Se 3.30, 6 Te 3.56-3.63
Se 0.9252 0.0748 0.2500  2 Au 2.71, 2 Sm 2.98
Se 0.0748 0.9252 0.7500  2 Au 2.71, 2 Sm 2.98
Sm 0.0000 0.0000 0.0000  2 Se 2.98, 4 Te 3.16
Sm 0.0000 0.0000 0.5000  2 Se 2.98, 4 Te 3.16
Te 0.6448 0.3552 0.0537  1 Au 2.78
Te 0.6448 0.3552 0.4463  1 Au 2.78
Te 0.3552 0.6448 0.5537  1 Au 2.78
Te 0.3552 0.6448 0.9463  1 Au 2.78